No. 1
# CaH4SO6 | the Alexandria database | PBE | relaxed
data_CaH4SO6
_chemical_formula_sum 'Ca4 H16 S4 O24'
_cell_length_a 6.4001
_cell_length_b 15.1572
_cell_length_c 5.7212
_cell_angle_alpha 90.00
_cell_angle_beta 114.14
_cell_angle_gamma 90.00
_symmetry_space_group_name_H-M 'C 1 2/c 1'
_symmetry_Int_Tables_number 15
_symmetry_space_group_name_Hall '-C 2yc'
loop_
_atom_site_label
_atom_site_fract_x
_atom_site_fract_y
_atom_site_fract_z
Ca1 0.0000 0.1684 0.2500
H1 0.2452 0.0058 0.5903
H2 0.2473 0.4114 0.2390
S1 0.0000 0.3290 0.7500
O1 0.0832 0.2731 0.5914
O2 0.1986 0.3847 0.9145
O3 0.2078 0.0689 0.5823
# relative energy among the computed polymorphs	0.0000	eV/atom

=====

No. 2
# CaH2S2O8 | the Alexandria database | PBE | relaxed
data_CaH2S2O8
_chemical_formula_sum 'Ca8 H16 S16 O64'
_cell_length_a 7.0421
_cell_length_b 14.3161
_cell_length_c 12.7940
_cell_angle_alpha 90.00
_cell_angle_beta 90.00
_cell_angle_gamma 90.00
_symmetry_space_group_name_H-M 'P b c a'
_symmetry_Int_Tables_number 61
_symmetry_space_group_name_Hall '-P 2ac 2ab'
loop_
_atom_site_label
_atom_site_fract_x
_atom_site_fract_y
_atom_site_fract_z
Ca1 0.1446 0.1907 0.0644
H1 0.0877 0.1097 0.6818
H2 0.1615 0.0234 0.3250
S1 0.1291 0.5628 0.6430
S2 0.1541 0.1727 0.3603
O1 0.0176 0.1073 0.9186
O2 0.0193 0.6849 0.0768
O3 0.0762 0.5579 0.7560
O4 0.1247 0.1918 0.2499
O5 0.1925 0.7282 0.4096
O6 0.1962 0.0274 0.1065
O7 0.1965 0.1336 0.6363
O8 0.2271 0.0702 0.3732
# E_tot	-5.9996	eV/atom

=====

No. 3
# CaSb4H6S2O16 | the Alexandria database | PBE | relaxed
data_CaSb4H6S2O16
_chemical_formula_sum 'Ca4 Sb16 H24 S8 O64'
_cell_length_a 25.1091
_cell_length_b 5.7226
_cell_length_c 10.2692
_cell_angle_alpha 90.00
_cell_angle_beta 94.20
_cell_angle_gamma 90.00
_symmetry_space_group_name_H-M 'C 1 2/c 1'
_symmetry_Int_Tables_number 15
_symmetry_space_group_name_Hall '-C 2yc'
loop_
_atom_site_label
_atom_site_fract_x
_atom_site_fract_y
_atom_site_fract_z
Ca1 0.0000 0.2024 0.2500
Sb1 0.1815 0.0650 0.2422
Sb2 0.2096 0.4947 0.9958
H1 0.0546 0.4010 0.6129
H2 0.0561 0.3388 0.7650
H3 0.1208 0.4342 0.2209
S1 0.0780 0.0246 0.4735
O1 0.0478 0.1148 0.8698
O2 0.0571 0.2691 0.4599
O3 0.0581 0.4708 0.7023
O4 0.0719 0.0694 0.1058
O5 0.1370 0.0223 0.4523
O6 0.1605 0.4015 0.2319
O7 0.2371 0.1814 0.3845
O8 0.2368 0.1841 0.1099
# E_tot	-5.7920	eV/atom

=====

No. 4
# CaScSi3HO9 | the Alexandria database | PBE | relaxed
data_CaScSi3HO9
_chemical_formula_sum 'Ca2 Sc2 Si6 H2 O18'
_cell_length_a 6.8570
_cell_length_b 7.1387
_cell_length_c 7.5906
_cell_angle_alpha 104.42
_cell_angle_beta 93.48
_cell_angle_gamma 91.99
_symmetry_space_group_name_H-M 'P -1'
_symmetry_Int_Tables_number 2
_symmetry_space_group_name_Hall '-P 1'
loop_
_atom_site_label
_atom_site_fract_x
_atom_site_fract_y
_atom_site_fract_z
Ca1 0.1565 0.0852 0.3306
Sc1 0.1479 0.5935 0.3572
Si1 0.1343 0.2609 0.9544
Si2 0.3246 0.9109 0.7400
Si3 0.3574 0.4773 0.7212
H1 0.4704 0.8383 0.3082
O1 0.0618 0.7586 0.1827
O2 0.1064 0.3261 0.1718
O3 0.1655 0.8729 0.5631
O4 0.1719 0.4209 0.5623
O5 0.2189 0.0389 0.9173
O6 0.2961 0.4070 0.9007
O7 0.3991 0.7127 0.7833
O8 0.4457 0.6300 0.3489
O9 0.4721 0.9760 0.2920
# E_tot	-7.6783	eV/atom

=====

No. 5
# CaH4SeO6 | the Alexandria database | PBE | relaxed
data_CaH4SeO6
_chemical_formula_sum 'Ca4 H16 Se4 O24'
_cell_length_a 6.6646
_cell_length_b 15.5444
_cell_length_c 5.8700
_cell_angle_alpha 90.00
_cell_angle_beta 116.15
_cell_angle_gamma 90.00
_symmetry_space_group_name_H-M 'C 1 2/c 1'
_symmetry_Int_Tables_number 15
_symmetry_space_group_name_Hall '-C 2yc'
loop_
_atom_site_label
_atom_site_fract_x
_atom_site_fract_y
_atom_site_fract_z
Ca1 0.0000 0.1688 0.2500
H1 0.2418 0.0061 0.5767
H2 0.2449 0.0856 0.7473
Se1 0.0000 0.3319 0.7500
O1 0.1004 0.2711 0.5885
O2 0.2107 0.0684 0.5713
O3 0.2214 0.3912 0.9394
# E_tot	-5.4067	eV/atom

=====

No. 6
# CaU2Si2H12O17 | the Alexandria database | PBE | relaxed
data_CaU2Si2H12O17
_chemical_formula_sum 'Ca2 U4 Si4 H24 O34'
_cell_length_a 6.7231
_cell_length_b 7.0464
_cell_length_c 16.0331
_cell_angle_alpha 90.00
_cell_angle_beta 97.80
_cell_angle_gamma 90.00
_symmetry_space_group_name_H-M 'P 1 21 1'
_symmetry_Int_Tables_number 4
_symmetry_space_group_name_Hall 'P 2yb'
loop_
_atom_site_label
_atom_site_fract_x
_atom_site_fract_y
_atom_site_fract_z
Ca1 0.2324 0.0000 0.2315
U1 0.3622 0.8870 0.9933
U2 0.3647 0.9540 0.4947
Si1 0.1583 0.3876 0.9620
Si2 0.1577 0.4532 0.4676
H1 0.0315 0.3246 0.3413
H2 0.0311 0.5270 0.6279
H3 0.0793 0.3363 0.1204
H4 0.1506 0.3184 0.8231
H5 0.1826 0.1091 0.7124
H6 0.1845 0.5909 0.7088
H7 0.2147 0.4316 0.1970
H8 0.2627 0.5943 0.3053
H9 0.2895 0.0554 0.8026
H10 0.4149 0.7407 0.7929
H11 0.4303 0.7619 0.6953
H12 0.4562 0.6469 0.2625
O1 0.0268 0.9616 0.4766
O2 0.0278 0.8844 0.9830
O3 0.0396 0.5812 0.6860
O4 0.0683 0.3911 0.8599
O5 0.0781 0.4505 0.3646
O6 0.1543 0.3092 0.1770
O7 0.2700 0.1610 0.7610
O8 0.3074 0.6513 0.2547
O9 0.3135 0.6329 0.4837
O10 0.3148 0.2783 0.4958
O11 0.3150 0.5634 0.9893
O12 0.3162 0.2095 0.9813
O13 0.3553 0.8786 0.8767
O14 0.3552 0.9705 0.3791
O15 0.3722 0.9041 0.1090
O16 0.3810 0.9329 0.6102
O17 0.4366 0.6677 0.7417
# E_tot	-6.6821	eV/atom